[1]
Density functional theory data (PBE) for an optimized crystal structure of KCaMn2Cl.

a = 5.975 Å, b = 5.975 Å, c = 5.333 Å
α = 90.00°, β = 90.00°, γ = 90.00°
Space group P4/mmm (No. 123)
Inequivalent atoms, fractional coordinates:
K1 0.000 0.000 0.000 [1 per cell]
Ca1 0.500 0.500 0.500 [1 per cell]
Mn1 0.000 0.500 0.500 [2 per cell]
Cl1 0.500 0.500 0.000 [1 per cell]

For the density of states at the Fermi level, the calculation gives 4.4 states/eV per cell. Its formation energy (no corrections) is 219 kJ/mol of formula units.

***

[2]
Density functional theory data (PBE) for an optimized crystal structure of Ca3TcPd.

a = 5.442 Å, b = 5.442 Å, c = 5.442 Å
α = 90.00°, β = 90.00°, γ = 90.00°
Space group Pm-3m (No. 221)
Inequivalent atoms, fractional coordinates:
Ca1 0.000 0.000 0.500 [3 per cell]
Tc1 0.500 0.500 0.500 [1 per cell]
Pd1 0.000 0.000 0.000 [1 per cell]

The calculation puts the formation energy from the elements at 11.534 kcal/mol of atoms. For the density of states at the Fermi level, the calculation gives 7.2 states/eV per cell.

***

[3]
Density functional theory data (PBE) for an optimized crystal structure of TlOsIO4.

a = 11.837 Å, b = 8.478 Å, c = 9.132 Å
α = 90.00°, β = 107.98°, γ = 90.00°
Space group C2/m (No. 12)
Inequivalent atoms, fractional coordinates:
Tl1 0.187 0.000 0.163 [4 per cell]
Os1 0.115 0.500 0.292 [4 per cell]
I1 0.075 0.000 0.791 [4 per cell]
O1 0.024 0.500 0.681 [4 per cell]
O2 0.125 0.332 0.189 [8 per cell]
O3 0.223 0.500 0.470 [4 per cell]

Its formation energy (no corrections) is -568 kJ/mol of formula units.

***

[4]
Density functional theory data (PBE) for an optimized crystal structure of Ag3PbS.

a = 4.938 Å, b = 4.938 Å, c = 4.938 Å
α = 90.00°, β = 90.00°, γ = 90.00°
Space group Pm-3m (No. 221)
Inequivalent atoms, fractional coordinates:
Ag1 0.000 0.000 0.500 [3 per cell]
Pb1 0.500 0.500 0.500 [1 per cell]
S1 0.000 0.000 0.000 [1 per cell]

For the density of states at the Fermi level, the calculation gives 3.1 states/eV per cell. Its formation energy (no corrections) is 138 kJ/mol of formula units.